1.
CuNi4S8 after structural relaxation. Source: Alexandria via LeMat-Bulk, functional GGA-PBE.

Results
* spin magnetization: 0.000 μB per cell
* density of states at the Fermi level: 6.24 states/eV per cell
* E_form (uncorrected): -0.260 eV/atom

abc: 6.7506 6.7506 6.7506
angles: 60.00 60.00 60.00
Sites, in units of the cell vectors:
Cu 0.7500 0.7500 0.7500
Ni 0.8820 0.3727 0.3727
Ni 0.3727 0.8820 0.3727
Ni 0.3727 0.3727 0.8820
Ni 0.3727 0.3727 0.3727
S 0.5875 0.1375 0.1375
S 0.1375 0.5875 0.1375
S 0.1375 0.1375 0.5875
S 0.1375 0.1375 0.1375
S 0.1613 0.6129 0.6129
S 0.6129 0.1613 0.6129
S 0.6129 0.6129 0.1613
S 0.6129 0.6129 0.6129

***

2.
PmNd3Ag after structural relaxation. Source: Alexandria via LeMat-Bulk, functional GGA-PBE.

Results
* energy above the most stable polymorph in this dataset: 0.0 meV per atom
* spin magnetization: 0.000 μB per cell
* density of states at the Fermi level: 11.86 states/eV per cell
* formation enthalpy at 0 K: -63.5 meV/atom

abc: 5.1689 6.3868 10.5418
angles: 97.00 90.00 113.87
Sites, in units of the cell vectors:
Pm 0.6573 0.3145 0.5528
Pm 0.3427 0.6855 0.4472
Nd 0.0292 0.0583 0.3341
Nd 0.9708 0.9417 0.6659
Nd 0.4000 0.8000 0.1093
Nd 0.6000 0.2000 0.8907
Nd 0.2778 0.5557 0.7744
Nd 0.7222 0.4443 0.2256
Ag 0.8814 0.7628 0.9365
Ag 0.1186 0.2372 0.0635

***

3.
BaMnSeN2 after structural relaxation. Source: Alexandria via LeMat-Bulk, functional GGA-PBE.

Results
* energy above the most stable polymorph in this dataset: 1419.2 meV per atom
* spin magnetization: 5.509 μB per cell
* density of states at the Fermi level: 3.97 states/eV per cell
* E_form (uncorrected): 1.662 eV/atom

abc: 4.2917 4.2917 6.5906
angles: 90.00 90.00 90.00
Each line ends with the local moment (μB).
Sites, in units of the cell vectors:
Mn 0.5000 0.5000 0.5000  4.47
Ba 0.0000 0.0000 0.0000  -0.02
Se 0.0000 0.0000 0.5000  0.02
N 0.0000 0.5000 0.0000  0.23
N 0.5000 0.0000 0.0000  0.23

***

4.
BaAs2Ir after structural relaxation. Source: Alexandria via LeMat-Bulk, functional GGA-PBE.

Results
* spin magnetization: 0.000 μB per cell
* density of states at the Fermi level: 2.42 states/eV per cell
* formation enthalpy at 0 K: -235.9 meV/atom

abc: 6.2061 6.2061 6.2061
angles: 140.22 136.48 60.42
Sites, in units of the cell vectors:
As 0.1045 0.1045 0.0000
As 0.7255 0.2255 0.5000
Ir 0.2078 0.7078 0.5000
Ba 0.4621 0.4621 0.0000

***

5.
MgIn2Cu after structural relaxation. Source: Alexandria via LeMat-Bulk, functional GGA-PBE.

Results
* spin magnetization: 0.000 μB per cell
* density of states at the Fermi level: 1.44 states/eV per cell
* formation enthalpy at 0 K: 2.1 meV/atom

abc: 3.2121 3.2120 8.1818
angles: 90.00 90.00 90.01
Sites, in units of the cell vectors:
Mg 0.0000 0.0000 0.5489
Cu 0.5000 0.5000 0.7369
In 0.0000 0.0000 0.9477
In 0.5000 0.5000 0.2665

***

6.
Ta3AlTe after structural relaxation. Source: Alexandria via LeMat-Bulk, functional GGA-PBE.

Results
* energy above the most stable polymorph in this dataset: 0.0 meV per atom
* spin magnetization: 1.482 μB per cell
* density of states at the Fermi level: 7.33 states/eV per cell
* E_form (uncorrected): 1.360 eV/atom

abc: 4.7768 4.7768 4.7768
angles: 90.00 90.00 90.00
Each line ends with the local moment (μB).
Sites, in units of the cell vectors:
Te 0.5000 0.5000 0.5000  0.01
Al 0.0000 0.0000 0.0000  0.03
Ta 0.0000 0.5000 0.0000  0.31
Ta 0.0000 0.0000 0.5000  0.31
Ta 0.5000 0.0000 0.0000  0.29

***

7.
Pu2AsO after structural relaxation. Source: Alexandria via LeMat-Bulk, functional GGA-PBE.

Results
* energy above the most stable polymorph in this dataset: 240.6 meV per atom
* spin magnetization: 11.000 μB per cell
* density of states at the Fermi level: 14.16 states/eV per cell
* E_form (uncorrected): -1.497 eV/atom

abc: 3.7366 3.7366 7.1356
angles: 74.82 74.82 60.00
Each line ends with the local moment (μB).
Sites, in units of the cell vectors:
Pu 0.0973 0.0973 0.7081  -5.20
Pu 0.2459 0.2459 0.2622  -5.50
As 0.6703 0.6703 0.9890  0.17
O 0.4864 0.4864 0.5407  0.10

***

8.
CrTcAg2 after structural relaxation. Source: Alexandria via LeMat-Bulk, functional GGA-PBE.

Results
* energy above the most stable polymorph in this dataset: 284.7 meV per atom
* spin magnetization: 1.457 μB per cell
* density of states at the Fermi level: 4.16 states/eV per cell
* formation enthalpy at 0 K: 607.8 meV/atom

abc: 4.5149 4.5149 4.5149
angles: 60.00 60.00 60.00
Each line ends with the local moment (μB).
Sites, in units of the cell vectors:
Ag 0.0000 0.0000 0.0000  -0.06
Ag 0.2500 0.2500 0.2500  0.06
Cr 0.5000 0.5000 0.5000  3.05
Tc 0.7500 0.7500 0.7500  -1.73